No. 1
DFT (SCAN) results for a crystal of YCrRh2 relaxed with PBEsol.

The value obtained for the energy relative to the elements is -7.26 kcal/mol of atoms. As for the final energy: -28.76 eV per atom.

Cell: 3.9155 3.9067 5.0659 Å, 112.69 112.74 90.02°
Closest atoms and distances in Å follow each position.
Fractional positions:
Rh: 0.0001 0.0003 0.0004  4 Y 2.77, 4 Cr 2.88-2.89, 4 Rh 2.88-2.89
Rh: 0.7500 0.2502 0.5002  4 Cr 2.76-2.77, 4 Rh 2.88-2.89, 4 Y 2.88-2.89
Y: 0.5000 0.5000 0.0000  8 Rh 2.77-2.89, 4 Cr 2.89
Cr: 0.2499 0.7495 0.4995  8 Rh 2.76-2.89, 4 Y 2.89


No. 2
DFT (SCAN) results for a crystal of HRh3W relaxed with PBEsol.

As for the final energy: -34.97 eV per atom.

Cell: 3.8672 3.8672 3.8672 Å, 90.00 90.00 90.00°
Closest atoms and distances in Å follow each position.
Fractional positions:
H: 0.0000 0.0000 0.0000  6 Rh 1.93
W: 0.5000 0.5000 0.5000  12 Rh 2.73
Rh: 0.0000 0.5000 0.0000  2 H 1.93
Rh: 0.5000 0.0000 0.0000  2 H 1.93
Rh: 0.0000 0.0000 0.5000  2 H 1.93


No. 3
DFT (SCAN) results for a crystal of CdCuMo3 relaxed with PBEsol.

The value obtained for the energy relative to the elements is 35.84 kcal/mol of atoms. As for the final energy: -28.50 eV per atom.

Cell: 4.4792 4.4792 4.4792 Å, 90.00 90.00 90.00°
Closest atoms and distances in Å follow each position.
Fractional positions:
Cu: 0.0000 0.0000 0.0000  6 Mo 2.24
Cd: 0.5000 0.5000 0.5000  12 Mo 3.17
Mo: 0.5000 0.0000 0.0000  2 Cu 2.24
Mo: 0.0000 0.5000 0.0000  2 Cu 2.24
Mo: 0.0000 0.0000 0.5000  2 Cu 2.24